(1)
Material: Ba8Li2Hg
Method: DFT, GGA-PBE
State: relaxed

Calculated values
calculated density: 3.85 Mg/m³
energy relative to the lowest polymorph listed for this composition: 12 meV per atom
spin magnetization: 0.0 μB per cell
Fermi-level density of states: 11.80 states/eV/f.u.
crystal system: monoclinic
formation energy from the elements: -0.05 eV/atom

Cell: 12.042 12.042 6.720 Å, 98.75 98.75 139.68°
Fractional coordinates of all 11 atoms:
Ba1 0.000 0.000 0.000
Ba2 0.058 0.453 0.133
Ba3 0.087 0.845 0.480
Ba4 0.424 0.666 0.784
Ba5 0.453 0.058 0.133
Ba6 0.511 0.511 0.264
Ba7 0.666 0.424 0.784
Ba8 0.845 0.087 0.480
Li1 0.517 0.995 0.633
Li2 0.995 0.517 0.633
Hg1 0.255 0.255 0.631

***

(2)
Material: BaLiHg
Method: DFT, GGA-PBE
State: relaxed

Calculated values
calculated density: 4.91 Mg/m³
energy relative to the lowest polymorph listed for this composition: 142 meV per atom
spin magnetization: 0.0 μB per cell
Fermi-level density of states: 2.22 states/eV/f.u.
crystal system: cubic
formation energy from the elements: -0.20 eV/atom

Cell: 5.485 5.485 5.485 Å, 60.00 60.00 60.00°
Fractional coordinates of all 3 atoms:
Ba1 0.000 0.000 0.000
Li1 0.500 0.500 0.500
Hg1 0.750 0.750 0.750